Record 1
This record from Alexandria describes crystalline GdDySc4 at its relaxed geometry. The functional is PBE.

Computed properties:
Calculated volume, Å³ per atom: 28.92
Size of the total moment, μB/f.u.: 13.37
Theoretical density, g/cm³: 4.78

Unit cell a=8.854 b=8.854 c=8.854 alpha=90.00 beta=90.00 gamma=90.00
Space group F-43m (No. 216)
Symmetry-distinct sites (fractional):
Gd  0.000  0.000  0.000 [4 per cell]
Dy  0.250  0.250  0.250 [4 per cell]
Sc  0.125  0.125  0.625 [16 per cell]

***

Record 2
This record from Alexandria describes crystalline Y2HoEr6 at its relaxed geometry. The functional is PBE.

Computed properties:
Calculated volume, Å³ per atom: 31.02
Distance to the lowest polymorph of the same formula, eV per formula unit: 0.00
Size of the total moment, μB/f.u.: 0.00
Theoretical density, g/cm³: 8.01

Unit cell a=17.124 b=3.560 c=11.811 alpha=90.00 beta=129.13 gamma=90.00
Space group C2/m (No. 12)
Symmetry-distinct sites (fractional):
Y  0.204  0.000  0.074 [4 per cell]
Ho  0.000  0.500  0.000 [2 per cell]
Er  0.036  0.500  0.739 [4 per cell]
Er  0.129  0.000  0.592 [4 per cell]
Er  0.167  0.000  0.334 [4 per cell]

***

Number 1: formation energy 0.1983 eV per atom. Number 2: formation energy 0.0029 eV per atom.